*1*
VASP calculation (GGA-PBE) on a geometry-optimized Si2Ir2Rh structure.

crystal system: tetragonal
density of states at the Fermi level: 0.6758 states/eV per atom

Cell and atoms, written as CIF:
```
data_Si2Ir2Rh
_chemical_formula_sum 'Si4 Ir4 Rh2'
_cell_length_a 7.022
_cell_length_b 7.022
_cell_length_c 2.796
_cell_angle_alpha 90.00
_cell_angle_beta 90.00
_cell_angle_gamma 90.00
_space_group_name_H-M_alt 'P 4/m b m'
_space_group_IT_number 127
_space_group_name_Hall '-P 4 2ab'
loop_
_atom_site_label
_atom_site_fract_x
_atom_site_fract_y
_atom_site_fract_z
Si1 0.154 0.346 0.000
Ir1 0.144 0.644 0.500
Rh1 0.000 0.000 0.000
```

*2*
VASP calculation (GGA-PBE) on a geometry-optimized Si2Ir2Rh structure.

crystal system: trigonal
density of states at the Fermi level: 0.2506 states/eV per atom

Cell and atoms, written as CIF:
```
data_Si2Ir2Rh
_chemical_formula_sum 'Si2 Ir2 Rh1'
_cell_length_a 4.0233
_cell_length_b 4.0233
_cell_length_c 5.1158
_cell_angle_alpha 90.00
_cell_angle_beta 90.00
_cell_angle_gamma 120.00
_space_group_name_H-M_alt 'P -3 m 1'
_space_group_IT_number 164
_space_group_name_Hall '-P 3 2"'
loop_
_atom_site_label
_atom_site_fract_x
_atom_site_fract_y
_atom_site_fract_z
Si1 0.3333 0.6667 0.2997
Ir1 0.3333 0.6667 0.8233
Rh1 0.0000 0.0000 0.5000
```

Which structure is most stable? *2*, by 205 meV per atom over the runner-up.

*1*
VASP calculation (GGA-PBE) on a geometry-optimized SiIr3Rh structure.

crystal system: cubic
density of states at the Fermi level: 1.7208 states/eV per atom

Cell and atoms, written as CIF:
```
data_SiIr3Rh
_chemical_formula_sum 'Si1 Ir3 Rh1'
_cell_length_a 4.703
_cell_length_b 4.703
_cell_length_c 4.703
_cell_angle_alpha 90.00
_cell_angle_beta 90.00
_cell_angle_gamma 90.00
_space_group_name_H-M_alt 'P m -3 m'
_space_group_IT_number 221
_space_group_name_Hall '-P 4 2 3'
loop_
_atom_site_label
_atom_site_fract_x
_atom_site_fract_y
_atom_site_fract_z
Si1 0.000 0.000 0.000
Ir1 0.000 0.500 0.500
Rh1 0.500 0.500 0.500
```

*2*
VASP calculation (GGA-PBE) on a geometry-optimized SiIr3Rh structure.

crystal system: cubic
density of states at the Fermi level: 2.1548 states/eV per atom

Cell and atoms, written as CIF:
```
data_SiIr3Rh
_chemical_formula_sum 'Si1 Ir3 Rh1'
_cell_length_a 4.382
_cell_length_b 4.382
_cell_length_c 4.382
_cell_angle_alpha 90.00
_cell_angle_beta 90.00
_cell_angle_gamma 90.00
_space_group_name_H-M_alt 'P m -3 m'
_space_group_IT_number 221
_space_group_name_Hall '-P 4 2 3'
loop_
_atom_site_label
_atom_site_fract_x
_atom_site_fract_y
_atom_site_fract_z
Si1 0.000 0.000 0.000
Ir1 0.000 0.000 0.500
Rh1 0.500 0.500 0.500
```

Which structure is most stable? *2*, by 1125 meV per atom over the runner-up.

*1*
VASP calculation (GGA-PBE) on a geometry-optimized SmIrRh2 structure.

crystal system: trigonal
density of states at the Fermi level: 1.1435 states/eV per atom

Cell and atoms, written as CIF:
```
data_SmIrRh2
_chemical_formula_sum 'Sm9 Ir9 Rh18'
_cell_length_a 5.3179
_cell_length_b 5.3179
_cell_length_c 26.5064
_cell_angle_alpha 90.00
_cell_angle_beta 90.00
_cell_angle_gamma 120.00
_space_group_name_H-M_alt 'R -3 m'
_space_group_IT_number 166
_space_group_name_Hall '-R 3 2"'
loop_
_atom_site_label
_atom_site_fract_x
_atom_site_fract_y
_atom_site_fract_z
Sm1 0.0000 0.0000 0.0000
Sm2 0.0000 0.0000 0.1390
Ir1 0.0000 0.0000 0.3325
Ir2 0.0000 0.0000 0.5000
Rh1 0.0021 0.5011 0.0816
```

*2*
VASP calculation (GGA-PBE) on a geometry-optimized SmIrRh2 structure.

crystal system: orthorhombic
density of states at the Fermi level: 1.5519 states/eV per atom

Cell and atoms, written as CIF:
```
data_SmIrRh2
_chemical_formula_sum 'Sm2 Ir2 Rh4'
_cell_length_a 5.355
_cell_length_b 6.351
_cell_length_c 4.591
_cell_angle_alpha 90.00
_cell_angle_beta 90.00
_cell_angle_gamma 90.00
_space_group_name_H-M_alt 'C m m m'
_space_group_IT_number 65
_space_group_name_Hall '-C 2 2'
loop_
_atom_site_label
_atom_site_fract_x
_atom_site_fract_y
_atom_site_fract_z
Sm1 0.000 0.000 0.000
Ir1 0.000 0.500 0.000
Rh1 0.000 0.301 0.500
```

Which structure is most stable? *1*, by 492 meV per atom over the runner-up.